Record 1
## Ac2LaTeO8 (PBE)

Data for Ac2LaTeO8 after structural relaxation.

Results
Its crystal system is monoclinic. The calculation puts the total energy at -84.96 eV for the cell shown. The value obtained for the raw formation energy is -2417 meV/atom. The calculated volume is 15.963 Å³/atom.

The structure in POSCAR format:
```
Ac2LaTeO8
1.0
4.501 0.000 0.000
0.000 7.519 0.000
-0.417 0.000 5.661
Ac La Te O
2 1 1 8
direct
0.000 0.243 0.000
0.000 0.757 0.000
0.500 0.500 0.500
0.500 0.000 0.500
0.064 0.500 0.249
0.103 0.000 0.338
0.434 0.195 0.727
0.434 0.805 0.727
0.566 0.195 0.273
0.566 0.805 0.273
0.897 0.000 0.662
0.936 0.500 0.751
```

***

Record 2
## AcLaTeO5 (PBE)

Data for AcLaTeO5 after structural relaxation.

Results
Its crystal system is monoclinic. The calculation puts the total energy at -113.28 eV for the cell shown. The value obtained for the raw formation energy is -2459 meV/atom. The calculated volume is 18.660 Å³/atom. For the density of states at the Fermi level, the calculation gives 0.000 states/eV per atom.

The structure in POSCAR format:
```
AcLaTeO5
1.0
4.160 -4.969 0.000
4.160 4.969 0.000
-3.685 0.000 7.222
Ac La Te O
2 2 2 10
direct
0.064 0.936 0.750
0.936 0.064 0.250
0.000 0.500 0.000
0.500 0.000 0.500
0.462 0.538 0.750
0.538 0.462 0.250
0.169 0.831 0.250
0.204 0.224 0.088
0.224 0.204 0.588
0.306 0.650 0.907
0.350 0.694 0.593
0.650 0.306 0.407
0.694 0.350 0.093
0.776 0.796 0.412
0.796 0.776 0.912
0.831 0.169 0.750
```

***

Record 3
## AcLaTeO2 (PBE)

Data for AcLaTeO2 after structural relaxation.

Results
Its crystal system is tetragonal. The calculation puts the total energy at -37.07 eV for the cell shown. The value obtained for the raw formation energy is -2995 meV/atom. The calculated volume is 23.703 Å³/atom. For the density of states at the Fermi level, the calculation gives 0.000 states/eV per atom.

The structure in POSCAR format:
```
AcLaTeO2
1.0
-2.100 2.100 6.721
2.100 -2.100 6.721
2.100 2.100 -6.721
Ac La Te O
1 1 1 2
direct
0.000 0.000 0.000
0.683 0.683 0.000
0.341 0.341 0.000
0.097 0.597 0.500
0.597 0.097 0.500
```

***

Record 4
## AcLa2TeO8 (PBE)

Data for AcLa2TeO8 after structural relaxation.

Results
Its crystal system is monoclinic. The calculation puts the total energy at -86.11 eV for the cell shown. The value obtained for the raw formation energy is -2445 meV/atom. The calculated volume is 15.452 Å³/atom.

The structure in POSCAR format:
```
AcLa2TeO8
1.0
4.459 0.000 0.000
0.000 7.455 0.000
-0.265 0.000 5.578
Ac La Te O
1 2 1 8
direct
0.000 0.000 0.000
0.500 0.252 0.500
0.500 0.748 0.500
0.000 0.500 0.000
0.074 0.305 0.768
0.074 0.695 0.768
0.394 0.500 0.169
0.470 0.000 0.258
0.530 0.000 0.742
0.606 0.500 0.831
0.926 0.305 0.232
0.926 0.695 0.232
```

***

Record 5
## AcLa2TiO6 (PBE)

Data for AcLa2TiO6 after structural relaxation.

Results
Its crystal system is tetragonal. The calculation puts the total energy at -82.49 eV for the cell shown. The value obtained for the raw formation energy is -3088 meV/atom. The calculated volume is 17.626 Å³/atom. For the density of states at the Fermi level, the calculation gives 0.352 states/eV per atom.

The structure in POSCAR format:
```
AcLa2TiO6
1.0
5.562 0.000 0.000
0.000 5.562 0.000
0.000 0.000 5.697
Ac La Ti O
1 2 1 6
direct
0.000 0.000 0.000
0.000 0.500 0.452
0.500 0.000 0.452
0.500 0.500 0.071
0.000 0.000 0.584
0.269 0.269 0.216
0.269 0.731 0.216
0.500 0.500 0.751
0.731 0.269 0.216
0.731 0.731 0.216
```

***

Record 6
## AcLa2TlO (PBE)

Data for AcLa2TlO after structural relaxation.

Results
Its crystal system is tetragonal. The calculation puts the total energy at -27.90 eV for the cell shown. The value obtained for the raw formation energy is -1321 meV/atom. The calculated volume is 27.628 Å³/atom. For the density of states at the Fermi level, the calculation gives 0.574 states/eV per atom.

The structure in POSCAR format:
```
AcLa2TlO
1.0
5.127 0.000 0.000
0.000 5.127 0.000
0.000 0.000 5.256
Ac La Tl O
1 2 1 1
direct
0.000 0.000 0.000
0.000 0.500 0.500
0.500 0.000 0.500
0.500 0.500 0.000
0.000 0.000 0.500
```

***

Number 1: total moment 1.02 μB per formula unit. Number 2: total moment 0.00 μB per formula unit. Number 3: total moment 0.00 μB per formula unit. Number 4: total moment 1.01 μB per formula unit. Number 5: total moment 0.94 μB per formula unit. Number 6: total moment 0.00 μB per formula unit.